## PmHoTm (PBE)

Data for crystalline PmHoTm at its relaxed geometry.

Structure (POSCAR):
```
PmHoTm
1.0
5.7088 2.2202 -0.5294
2.9512 5.4603 -4.9680
-0.7496 -1.6132 9.2196
Pm Ho Tm
2 2 2
Cartesian
8.0705 7.1093 -4.9388
4.8446 5.1938 -0.0711
4.5376 1.7562 6.1367
4.6767 3.4736 3.0409
2.0597 1.4531 1.7897
2.1954 3.1696 -1.3022
```

Results
The density of states at the Fermi level is 7.581 states/eV per cell. Its total moment is 0.00 μB per cell. The volume comes out at 31.642 A^3/atom. For the raw total energy, the calculation gives -4.581 eV per atom. The calculated density comes out at 8.38 g/cm³. The value obtained for the offset from the most stable computed form is 0.000 eV per atom. The value obtained for the calculated formation energy is 0.019 eV/atom.